{
  "formula": "CrMo2OsPt",
  "functional": "PBE",
  "state": "relaxed",
  "cell": [[4.667, 0.000, 0.000], [0.000, 4.667, 0.000], [0.000, 0.000, 4.824]],
  "species": ["Cr", "Mo", "Mo", "Os", "Pt"],
  "frac_coords": [[0.000, 0.000, 0.000], [0.000, 0.500, 0.500], [0.500, 0.000, 0.500], [0.500, 0.500, 0.500], [0.500, 0.500, 0.000]],
  "formation_enthalpy_0k_ev_per_atom": 1.97
}